Entry 1:
Below is a relaxed Ho4Tl3Ir crystal, with properties calculated at the PBE level.

Unit cell a=3.555 b=3.555 c=15.968 alpha=90.00 beta=90.00 gamma=90.00
Atoms (fractional coordinates):
Tl 0.500 0.500 0.239
Tl 0.500 0.500 0.500
Tl 0.500 0.500 0.761
Ir 0.500 0.500 0.000
Ho 0.000 0.000 0.899
Ho 0.000 0.000 0.101
Ho 0.000 0.000 0.368
Ho 0.000 0.000 0.632

Calculated values
DOS at the Fermi energy: 4.658 states/eV/f.u.
crystal system: tetragonal
formation energy from the elements: -0.479 eV per atom



Entry 2:
Below is a relaxed LiMo2Cl crystal, with properties calculated at the PBE level.

Unit cell a=5.399 b=5.399 c=2.800 alpha=90.00 beta=90.00 gamma=125.56
Atoms (fractional coordinates):
Cl 0.500 0.000 0.500
Li 0.000 0.500 0.500
Mo 0.000 0.000 0.000
Mo 0.500 0.500 0.000

Calculated values
DOS at the Fermi energy: 5.144 states/eV/f.u.
crystal system: orthorhombic
distance to the lowest polymorph of the same formula: 0.865 eV per atom



Entry 3:
Below is a relaxed CeYCoBr crystal, with properties calculated at the PBE level.

Unit cell a=3.886 b=3.885 c=8.022 alpha=89.95 beta=104.02 gamma=120.05
Atoms (fractional coordinates):
Ce 0.089 0.943 0.047
Y 0.505 0.150 0.671
Co 0.312 0.553 0.881
Br 0.972 0.384 0.371

Calculated values
DOS at the Fermi energy: 5.317 states/eV/f.u.
crystal system: trigonal
final energy: -6.023 eV per atom